[1]
A plane-wave DFT calculation with PBE was carried out for CeHo2Ru after structural relaxation.

a b c (Å): 3.399 3.399 8.967
angles (deg): 90.00 90.00 90.00
Last column: magnetic moment on the atom in μB.
Fractional positions:
Ru 0.500 0.500 0.000  0.01
Ho 0.000 0.000 0.817  0.06
Ho 0.000 0.000 0.183  0.06
Ce 0.500 0.500 0.500  0.94

## Properties
* offset from the most stable computed form: 0.143 eV/atom



[2]
A plane-wave DFT calculation with PBE was carried out for Hg2Pd5Au3 after structural relaxation.

a b c (Å): 4.559 5.346 9.947
angles (deg): 110.82 76.84 64.60
Fractional positions:
Hg 0.310 0.147 0.234
Hg 0.690 0.853 0.766
Pd 0.000 0.000 0.000
Pd 0.131 0.189 0.549
Pd 0.869 0.811 0.451
Pd 0.568 0.610 0.255
Pd 0.432 0.390 0.745
Au 0.500 0.500 0.500
Au 0.198 0.520 0.084
Au 0.802 0.480 0.916

## Properties
* DFT total energy: -36.43 eV for the cell shown



[3]
A plane-wave DFT calculation with PBE was carried out for AcTaN3 after structural relaxation.

a b c (Å): 4.150 4.150 4.150
angles (deg): 90.00 90.00 90.00
Last column: magnetic moment on the atom in μB.
Fractional positions:
Ac 0.500 0.500 0.500  0.01
N 0.000 0.500 0.000  0.13
N 0.000 0.000 0.500  0.13
N 0.500 0.000 0.000  0.13
Ta 0.000 0.000 0.000  -0.04

## Properties
* formation energy from raw total energies: -1.07 eV per atom



[4]
A plane-wave DFT calculation with PBE was carried out for ErMgSc2Pd4 after structural relaxation.

a b c (Å): 4.701 4.701 8.174
angles (deg): 73.29 73.29 60.00
Fractional positions:
Er 0.000 0.000 0.000
Mg 0.500 0.500 0.500
Sc 0.755 0.755 0.736
Sc 0.245 0.245 0.264
Pd 0.377 0.377 0.869
Pd 0.875 0.875 0.374
Pd 0.125 0.125 0.626
Pd 0.623 0.623 0.131

## Properties
* DFT total energy: -46.45 eV for the cell shown



The records above yield volume values of 25.90, 18.28, 14.29, 18.44 Å³/atom, respectively.
The records above yield M_tot values of 1.371, 0.000, 0.513, 0.000 Bohr magnetons per cell, respectively.
The records above yield Fermi-level density of states values of 7.28, 6.44, 3.08, 5.12 states/eV/f.u., respectively.